VASP calculation (PBE-GGA) on Sc4SiAsS2 after structural relaxation.

Formation energy without anion corrections, meV/atom: -1472
Final energy, hartree per atom: -0.25463

abc: 6.553 3.779 6.582
angles: 90.00 109.27 90.00
Space group P2/m (No. 10)
Symmetry-distinct sites (fractional):
Sc 0.246 0.000 0.251
Sc 0.247 0.500 0.750
Si 0.000 0.000 0.500
As 0.500 0.500 0.500
S 0.000 0.500 0.000
S 0.500 0.000 0.000